A relaxed structure of MnSi2Sb, computed with GGA-PBE.

## Properties
* energy relative to the elements, uncorrected: 0.41 eV/atom
* D(E_F): 4.50 states/eV/cell
* total magnetization: 2.95 μB/f.u.

CIF file:
```
data_MnSi2Sb
_symmetry_space_group_name_H-M 'I m m 2'
_symmetry_Int_Tables_number 44
_symmetry_space_group_name_Hall 'I 2 -2'
_cell_length_a 3.558
_cell_length_b 4.914
_cell_length_c 7.918
_cell_angle_alpha 90.00
_cell_angle_beta 90.00
_cell_angle_gamma 90.00
loop_
_atom_site_label
_atom_site_type_symbol
_atom_site_fract_x
_atom_site_fract_y
_atom_site_fract_z
Mn1 Mn 0.000 0.000 0.000
Si1 Si 0.000 0.000 0.551
Si2 Si 0.000 0.500 0.262
Sb1 Sb 0.000 0.500 0.781
```

=====

A relaxed structure of Sc2FeTe, computed with GGA-PBE.

## Properties
* energy relative to the elements, uncorrected: 0.03 eV/atom
* D(E_F): 11.71 states/eV/cell
* total magnetization: 0.53 μB/f.u.

CIF file:
```
data_Sc2FeTe
_symmetry_space_group_name_H-M 'R -3 m'
_symmetry_Int_Tables_number 166
_symmetry_space_group_name_Hall '-R 3 2"'
_cell_length_a 3.4785
_cell_length_b 3.4785
_cell_length_c 26.9195
_cell_angle_alpha 90.00
_cell_angle_beta 90.00
_cell_angle_gamma 120.00
loop_
_atom_site_label
_atom_site_type_symbol
_atom_site_fract_x
_atom_site_fract_y
_atom_site_fract_z
Sc1 Sc 0.0000 0.0000 0.1090
Fe1 Fe 0.0000 0.0000 0.5000
Te1 Te 0.0000 0.0000 0.0000
```

=====

A relaxed structure of Ba2NaAs3Pd4, computed with GGA-PBE.

## Properties
* D(E_F): 4.56 states/eV/cell
* DFT formation energy: -702 meV per atom
* total magnetization: 0.00 μB/f.u.

CIF file:
```
data_Ba2NaAs3Pd4
_symmetry_space_group_name_H-M 'P -4 m 2'
_symmetry_Int_Tables_number 115
_symmetry_space_group_name_Hall 'P -4 -2'
_cell_length_a 4.547
_cell_length_b 4.547
_cell_length_c 10.597
_cell_angle_alpha 90.00
_cell_angle_beta 90.00
_cell_angle_gamma 90.00
loop_
_atom_site_label
_atom_site_type_symbol
_atom_site_fract_x
_atom_site_fract_y
_atom_site_fract_z
Ba1 Ba 0.000 0.500 0.246
Na1 Na 0.000 0.000 0.500
As1 As 0.000 0.500 0.878
As2 As 0.500 0.500 0.500
Pd1 Pd 0.000 0.000 0.000
Pd2 Pd 0.000 0.500 0.639
Pd3 Pd 0.500 0.500 0.000
```

=====

A relaxed structure of LiAc2Os3O12, computed with GGA-PBE.

## Properties
* energy relative to the elements, uncorrected: -1.66 eV/atom
* D(E_F): 22.89 states/eV/cell
* total magnetization: 0.88 μB/f.u.

CIF file:
```
data_LiAc2Os3O12
_symmetry_space_group_name_H-M 'R -3 m'
_symmetry_Int_Tables_number 166
_symmetry_space_group_name_Hall '-R 3 2"'
_cell_length_a 7.2372
_cell_length_b 7.2372
_cell_length_c 15.9061
_cell_angle_alpha 90.00
_cell_angle_beta 90.00
_cell_angle_gamma 120.00
loop_
_atom_site_label
_atom_site_type_symbol
_atom_site_fract_x
_atom_site_fract_y
_atom_site_fract_z
Li1 Li 0.0000 0.0000 0.0000
Ac1 Ac 0.0000 0.0000 0.3910
Os1 Os 0.0000 0.5000 0.5000
O1 O 0.0423 0.5211 0.8138
O2 O 0.0594 0.5297 0.3864
```

=====

A relaxed structure of PRhO3, computed with GGA-PBE.

## Properties
* energy relative to the elements, uncorrected: -0.26 eV/atom
* D(E_F): 3.28 states/eV/cell
* total magnetization: 2.49 μB/f.u.

CIF file:
```
data_PRhO3
_symmetry_space_group_name_H-M 'P m -3 m'
_symmetry_Int_Tables_number 221
_symmetry_space_group_name_Hall '-P 4 2 3'
_cell_length_a 3.587
_cell_length_b 3.587
_cell_length_c 3.587
_cell_angle_alpha 90.00
_cell_angle_beta 90.00
_cell_angle_gamma 90.00
loop_
_atom_site_label
_atom_site_type_symbol
_atom_site_fract_x
_atom_site_fract_y
_atom_site_fract_z
P1 P 0.000 0.000 0.000
Rh1 Rh 0.500 0.500 0.500
O1 O 0.000 0.000 0.500
```

=====

A relaxed structure of Na5LiCd2, computed with GGA-PBE.

## Properties
* D(E_F): 8.66 states/eV/cell
* DFT formation energy: -34 meV per atom
* total magnetization: 0.00 μB/f.u.

CIF file:
```
data_Na5LiCd2
_symmetry_space_group_name_H-M 'P b a m'
_symmetry_Int_Tables_number 55
_symmetry_space_group_name_Hall '-P 2 2ab'
_cell_length_a 6.852
_cell_length_b 13.732
_cell_length_c 4.782
_cell_angle_alpha 90.00
_cell_angle_beta 90.00
_cell_angle_gamma 90.00
loop_
_atom_site_label
_atom_site_type_symbol
_atom_site_fract_x
_atom_site_fract_y
_atom_site_fract_z
Na1 Na 0.000 0.000 0.000
Na2 Na 0.014 0.252 0.000
Na3 Na 0.245 0.876 0.500
Li1 Li 0.000 0.500 0.000
Cd1 Cd 0.229 0.617 0.500
```

=====

Repeat the fourth record exactly.
A relaxed structure of LiAc2Os3O12, computed with GGA-PBE.

## Properties
* energy relative to the elements, uncorrected: -1.66 eV/atom
* D(E_F): 22.89 states/eV/cell
* total magnetization: 0.88 μB/f.u.

CIF file:
```
data_LiAc2Os3O12
_symmetry_space_group_name_H-M 'R -3 m'
_symmetry_Int_Tables_number 166
_symmetry_space_group_name_Hall '-R 3 2"'
_cell_length_a 7.2372
_cell_length_b 7.2372
_cell_length_c 15.9061
_cell_angle_alpha 90.00
_cell_angle_beta 90.00
_cell_angle_gamma 120.00
loop_
_atom_site_label
_atom_site_type_symbol
_atom_site_fract_x
_atom_site_fract_y
_atom_site_fract_z
Li1 Li 0.0000 0.0000 0.0000
Ac1 Ac 0.0000 0.0000 0.3910
Os1 Os 0.0000 0.5000 0.5000
O1 O 0.0423 0.5211 0.8138
O2 O 0.0594 0.5297 0.3864
```